This record from the Alexandria database describes a relaxed structure of Tl2CrBr5. The functional is PBE-GGA.

Output
- E_form (uncorrected) (kJ per mole of atoms) = -75
- polymorph energy (0 for the lowest one) (meV per atom) = 0.0
- crystal system = monoclinic
- space group = Cc, No. 9
- uncorrected energy (eV for the cell shown) = -57.9

The structure in extended XYZ format:
```
16
Lattice="7.108 0.000 3.065 2.379 7.725 4.258 0.081 -0.048 9.588" Properties=species:S:1:pos:R:3 pbc="T T T"
Br 6.159 5.908 9.348
Br 4.019 6.169 6.107
Br 1.796 0.501 7.553
Br 8.641 7.686 11.181
Br 6.114 3.800 13.251
Br 1.532 4.388 4.279
Br 2.043 2.022 10.733
Br 5.868 2.282 10.064
Br 5.936 0.256 3.282
Br 1.877 4.095 7.924
Tl 6.584 7.257 13.803
Tl 2.243 0.934 4.253
Tl 3.706 4.773 11.276
Tl 5.539 3.419 6.959
Cr 8.643 6.037 9.263
Cr 7.507 2.150 11.933
```

---

This record from the Alexandria database describes a relaxed structure of TbInAgIr. The functional is PBE-GGA.

Output
- crystal system = cubic
- calculated formation energy (eV per atom) = -0.3797
- space group = F-43m, No. 216
- uncorrected energy (eV for the cell shown) = -20.6

The structure in extended XYZ format:
```
4
Lattice="-4.195 1.968 1.407 -4.043 -2.666 0.008 -2.013 -1.334 4.198" Properties=species:S:1:pos:R:3 pbc="T T T"
Tb 0.000 0.000 0.000
Ir -7.688 -1.524 4.209
In -5.125 -1.016 2.806
Ag -2.563 -0.508 1.403
```